The following is a DFT calculation (GGA-PBE) of a relaxed Nd3Er8Sc2 crystal.

Lattice parameters (Å, degrees): 19.4616 7.7099 5.5548 90.00 90.02 90.00
Space group C2/m (No. 12)
One atom of each set of equivalent atoms:
Nd1 0.0000 0.0000 0.0000 [2 per cell]
Nd2 0.0000 0.2942 0.5000 [4 per cell]
Er1 0.1144 0.2915 0.0002 [8 per cell]
Er2 0.1367 0.0000 0.4999 [4 per cell]
Er3 0.1783 0.5000 0.5005 [4 per cell]
Sc1 0.2404 0.0000 0.9995 [4 per cell]

Values from the calculation:
- DFT formation energy (eV/atom) = 0.251
- E_tot (eV per atom) = -4.6309
- volume (Å³ per cell) = 833